# 1
Density functional theory data (meta-GGA SCAN) for a PBEsol-optimized structure of CaTlBr2.

Cell: 3.892 5.712 5.712 Å, 100.93 102.74 102.74°
Last column: magnetic moment on the atom in μB.
Fractional coordinates of all 4 atoms:
Tl1 0.500 0.000 0.000  0.06
Ca1 0.500 0.500 0.500  0.11
Br1 0.000 0.500 0.000  0.02
Br2 0.000 0.000 0.500  0.02

Fermi-level density of states = 1.4 states/eV/cell
spin magnetization = 0.6 μB/cell
SG = C2/m (12)
raw formation energy = -426 kJ/mol of formula units

=====

# 2
Density functional theory data (meta-GGA SCAN) for a PBEsol-optimized structure of NdIO.

Cell: 4.019 4.019 11.184 Å, 79.65 79.65 60.00°
Fractional coordinates of all 6 atoms:
I1 0.888 0.888 0.336
I2 0.112 0.112 0.664
Nd1 0.711 0.711 0.866
Nd2 0.289 0.289 0.134
O1 0.640 0.640 0.081
O2 0.360 0.360 0.919

Fermi-level density of states = 0.0 states/eV/cell
spin magnetization = 0.0 μB/cell
SG = R-3m (166)
raw formation energy = -825 kJ/mol of formula units

=====

# 3
Density functional theory data (meta-GGA SCAN) for a PBEsol-optimized structure of Dy2Ti3Si4.

Cell: 6.972 6.972 12.828 Å, 90.00 90.00 90.00°
Fractional coordinates of all 36 atoms:
Dy1 0.997 0.661 0.033
Dy2 0.003 0.339 0.533
Dy3 0.661 0.997 0.967
Dy4 0.161 0.503 0.783
Dy5 0.839 0.497 0.283
Dy6 0.503 0.161 0.217
Dy7 0.497 0.839 0.717
Dy8 0.339 0.003 0.467
Ti1 0.347 0.507 0.373
Ti2 0.847 0.993 0.377
Ti3 0.007 0.153 0.123
Ti4 0.993 0.847 0.623
Ti5 0.507 0.347 0.627
Ti6 0.153 0.007 0.877
Ti7 0.672 0.672 0.500
Ti8 0.828 0.172 0.750
Ti9 0.172 0.828 0.250
Ti10 0.328 0.328 0.000
Ti11 0.493 0.653 0.127
Ti12 0.653 0.493 0.873
Si1 0.046 0.708 0.435
Si2 0.954 0.292 0.935
Si3 0.708 0.046 0.565
Si4 0.208 0.454 0.185
Si5 0.792 0.546 0.685
Si6 0.454 0.208 0.815
Si7 0.546 0.792 0.315
Si8 0.292 0.954 0.065
Si9 0.798 0.869 0.185
Si10 0.298 0.631 0.565
Si11 0.702 0.369 0.065
Si12 0.631 0.298 0.435
Si13 0.369 0.702 0.935
Si14 0.131 0.202 0.315
Si15 0.202 0.131 0.685
Si16 0.869 0.798 0.815

Fermi-level density of states = 28.1 states/eV/cell
spin magnetization = 0.0 μB/cell
SG = P4_12_12 (92)
raw formation energy = -723 kJ/mol of formula units

=====

# 4
Density functional theory data (meta-GGA SCAN) for a PBEsol-optimized structure of Li2CoSnO4.

Cell: 5.917 6.058 6.058 Å, 60.73 60.77 60.77°
Last column: magnetic moment on the atom in μB.
Fractional coordinates of all 16 atoms:
Li1 0.000 0.500 0.500  0.00
Li2 0.000 0.000 0.500  0.01
Li3 0.000 0.000 0.000  0.00
Li4 0.500 0.000 0.500  0.01
Co1 0.500 0.500 0.000  2.62
Co2 0.000 0.500 0.000  2.62
Sn1 0.500 0.500 0.500  -0.01
Sn2 0.500 0.000 0.000  -0.01
O1 0.744 0.750 0.250  0.03
O2 0.738 0.752 0.772  0.13
O3 0.256 0.750 0.250  0.03
O4 0.738 0.272 0.252  0.13
O5 0.262 0.728 0.748  0.13
O6 0.744 0.250 0.750  0.03
O7 0.262 0.248 0.228  0.13
O8 0.256 0.250 0.750  0.03

spin magnetization = 6.0 μB/cell
SG = Imma (74)
raw formation energy = -1383 kJ/mol of formula units

=====

# 5
Density functional theory data (meta-GGA SCAN) for a PBEsol-optimized structure of ZrAs2RhSe.

Cell: 4.990 5.056 5.056 Å, 90.00 90.00 90.00°
Last column: magnetic moment on the atom in μB.
Fractional coordinates of all 5 atoms:
As1 0.000 0.000 0.500  0.02
As2 0.000 0.500 0.000  0.02
Rh1 0.500 0.500 0.500  1.43
Se1 0.500 0.000 0.000  0.03
Zr1 0.000 0.000 0.000  0.03

Fermi-level density of states = 4.0 states/eV/cell
spin magnetization = 1.6 μB/cell
SG = P4/mmm (123)
raw formation energy = 298 kJ/mol of formula units

=====

# 6
Density functional theory data (meta-GGA SCAN) for a PBEsol-optimized structure of Sc2WBr.

Cell: 3.134 3.134 8.381 Å, 90.00 90.00 108.95°
Fractional coordinates of all 4 atoms:
Br1 0.500 0.500 0.000
Sc1 0.000 0.000 0.263
Sc2 0.000 0.000 0.737
W1 0.500 0.500 0.500

Fermi-level density of states = 3.0 states/eV/cell
spin magnetization = 0.0 μB/cell
SG = Cmmm (65)
raw formation energy = -81 kJ/mol of formula units